Record 1
# GeIr PBE optimized geometry
# Formation energy from the elements   -0.192 eV per atom
# E_tot   -6.931 eV/atom
# Symmetry   No. 187
data_GeIr
_chemical_formula_sum 'Ge1 Ir1'
_cell_length_a 3.693
_cell_length_b 3.693
_cell_length_c 2.821
_cell_angle_alpha 90.00
_cell_angle_beta 90.00
_cell_angle_gamma 120.00
_space_group_name_H-M_alt 'P 1'
_space_group_IT_number 1
loop_
_space_group_symop_operation_xyz
'x,y,z'
loop_
_atom_site_label
_atom_site_fract_x
_atom_site_fract_y
_atom_site_fract_z
Ir1 0.667 0.333 0.000
Ge1 0.000 0.000 0.500

***

Record 2
# Tb6InIr PBE optimized geometry
# Formation energy from the elements   -0.134 eV per atom
# E_tot   -5.056 eV/atom
# Symmetry   No. 2
data_Tb6InIr
_chemical_formula_sum 'Tb6 In1 Ir1'
_cell_length_a 6.956
_cell_length_b 6.991
_cell_length_c 7.457
_cell_angle_alpha 62.39
_cell_angle_beta 62.56
_cell_angle_gamma 60.10
_space_group_name_H-M_alt 'P 1'
_space_group_IT_number 1
loop_
_space_group_symop_operation_xyz
'x,y,z'
loop_
_atom_site_label
_atom_site_fract_x
_atom_site_fract_y
_atom_site_fract_z
Tb1 0.420 0.790 0.753
Tb2 0.962 0.580 0.246
Tb3 0.788 0.036 0.753
Tb4 0.212 0.964 0.247
Tb5 0.038 0.420 0.754
Tb6 0.580 0.210 0.247
Ir1 0.000 0.000 0.000
In1 0.500 0.500 0.500

***

Record 3
# Pm2Sm3PuAs6 PBE optimized geometry
# Formation energy from the elements   -1.435 eV per atom
# E_tot   -6.926 eV/atom
# Symmetry   No. 12
data_Pm2Sm3PuAs6
_chemical_formula_sum 'Pm2 Sm3 Pu1 As6'
_cell_length_a 4.213
_cell_length_b 8.418
_cell_length_c 9.402
_cell_angle_alpha 102.93
_cell_angle_beta 102.95
_cell_angle_gamma 90.00
_space_group_name_H-M_alt 'P 1'
_space_group_IT_number 1
loop_
_space_group_symop_operation_xyz
'x,y,z'
loop_
_atom_site_label
_atom_site_fract_x
_atom_site_fract_y
_atom_site_fract_z
As1 0.001 0.756 0.001
As2 0.335 0.919 0.671
As3 0.334 0.416 0.667
As4 0.666 0.584 0.333
As5 0.999 0.244 0.999
As6 0.665 0.081 0.329
Pm1 0.833 0.666 0.666
Pm2 0.167 0.334 0.334
Pu1 0.500 0.000 0.000
Sm1 0.500 0.500 0.000
Sm2 0.168 0.833 0.335
Sm3 0.832 0.167 0.665

***

no.,DOS(E_F) (states/eV per atom)
1,0.32
2,1.29
3,1.29